(1)
# NdSm3Er2Tm6 (GGA-PBE, optimized geometry)
# DOS at the Fermi energy ... 15.122 states/eV/f.u.
# Formation enthalpy at 0 K ... 0.021 eV per atom
data_NdSm3Er2Tm6
_cell_length_a 6.1405
_cell_length_b 10.6296
_cell_length_c 11.6828
_cell_angle_alpha 90.00
_cell_angle_beta 100.06
_cell_angle_gamma 90.00
_space_group_name_H-M_alt 'C 1 2/m 1'
_space_group_IT_number 12
loop_
_space_group_symop_operation_xyz
'x,y,z'
'-x,-y,-z'
'-x,y,-z'
'x,-y,z'
'x+1/2,y+1/2,z'
'-x+1/2,-y+1/2,-z'
'-x+1/2,y+1/2,-z'
'x+1/2,-y+1/2,z'
loop_
_atom_site_label
_atom_site_fract_x
_atom_site_fract_y
_atom_site_fract_z
_atom_site_occupancy
Nd1 0.0000 0.0000 0.0000 1
Sm1 0.0000 0.1669 0.5000 1
Sm2 0.0000 0.5000 0.5000 1
Er1 0.0000 0.3333 0.0000 1
Tm1 0.2493 0.5000 0.2486 1
Tm2 0.2503 0.1669 0.2487 1


(2)
# Hg2PbCl (GGA-PBE, optimized geometry)
# Energy relative to the lowest polymorph listed for this composition ... 0.07 eV per formula unit
# DOS at the Fermi energy ... 1.077 states/eV/f.u.
# Raw formation energy ... -1.11 eV/f.u.
data_Hg2PbCl
_cell_length_a 10.7923
_cell_length_b 3.4119
_cell_length_c 6.3798
_cell_angle_alpha 90.00
_cell_angle_beta 101.16
_cell_angle_gamma 90.00
_space_group_name_H-M_alt 'C 1 m 1'
_space_group_IT_number 8
loop_
_space_group_symop_operation_xyz
'x,y,z'
'x,-y,z'
'x+1/2,y+1/2,z'
'x+1/2,-y+1/2,z'
loop_
_atom_site_label
_atom_site_fract_x
_atom_site_fract_y
_atom_site_fract_z
_atom_site_occupancy
Hg1 0.0000 0.0000 0.0000 1
Hg2 0.2456 0.5000 0.1514 1
Pb1 0.2950 0.0000 0.6012 1
Cl1 0.0420 0.5000 0.5325 1


(3)
# CsSbPHPt (GGA-PBE, optimized geometry)
# Energy relative to the lowest polymorph listed for this composition ... 0.00 eV per formula unit
data_CsSbPHPt
_cell_length_a 4.9913
_cell_length_b 4.0004
_cell_length_c 6.9475
_cell_angle_alpha 90.00
_cell_angle_beta 110.71
_cell_angle_gamma 90.00
_space_group_name_H-M_alt 'P 1 m 1'
_space_group_IT_number 6
loop_
_space_group_symop_operation_xyz
'x,y,z'
'x,-y,z'
loop_
_atom_site_label
_atom_site_fract_x
_atom_site_fract_y
_atom_site_fract_z
_atom_site_occupancy
Cs1 0.0000 0.0000 0.0000 1
Sb1 0.7143 0.5000 0.3934 1
P1 0.2604 0.5000 0.6012 1
H1 0.2698 0.5000 0.8132 1
Pt1 0.4704 0.0000 0.5288 1


(4)
# PuScTcPd (GGA-PBE, optimized geometry)
# DOS at the Fermi energy ... 6.165 states/eV/f.u.
# Formation enthalpy at 0 K ... -0.318 eV per atom
data_PuScTcPd
_cell_length_a 6.6925
_cell_length_b 6.6925
_cell_length_c 6.6925
_cell_angle_alpha 90.00
_cell_angle_beta 90.00
_cell_angle_gamma 90.00
_space_group_name_H-M_alt 'F -4 3 m'
_space_group_IT_number 216
_space_group_name_Hall 'F -4 2 3'
loop_
_atom_site_label
_atom_site_fract_x
_atom_site_fract_y
_atom_site_fract_z
_atom_site_occupancy
Pu1 0.0000 0.0000 0.0000 1
Sc1 0.0000 0.0000 0.5000 1
Tc1 0.2500 0.2500 0.2500 1
Pd1 0.2500 0.2500 0.7500 1


(5)
# BiPtSe2N (GGA-PBE, optimized geometry)
# Energy relative to the lowest polymorph listed for this composition ... 6.06 eV per formula unit
# DOS at the Fermi energy ... 8.010 states/eV/f.u.
# Raw formation energy ... 7.79 eV/f.u.
data_BiPtSe2N
_cell_length_a 5.4690
_cell_length_b 5.4690
_cell_length_c 4.0754
_cell_angle_alpha 90.00
_cell_angle_beta 90.00
_cell_angle_gamma 90.00
_space_group_name_H-M_alt 'P 4/m m m'
_space_group_IT_number 123
_space_group_name_Hall '-P 4 2'
loop_
_atom_site_label
_atom_site_fract_x
_atom_site_fract_y
_atom_site_fract_z
_atom_site_occupancy
Bi1 0.0000 0.0000 0.0000 1
Pt1 0.5000 0.5000 0.5000 1
Se1 0.0000 0.5000 0.0000 1
N1 0.0000 0.0000 0.5000 1


(6)
# ReMoPt2 (GGA-PBE, optimized geometry)
# Energy relative to the lowest polymorph listed for this composition ... 2.06 eV per formula unit
# DOS at the Fermi energy ... 10.663 states/eV/f.u.
# Formation enthalpy at 0 K ... 0.362 eV per atom
data_ReMoPt2
_cell_length_a 6.3224
_cell_length_b 6.3224
_cell_length_c 6.3224
_cell_angle_alpha 90.00
_cell_angle_beta 90.00
_cell_angle_gamma 90.00
_space_group_name_H-M_alt 'F m -3 m'
_space_group_IT_number 225
_space_group_name_Hall '-F 4 2 3'
loop_
_atom_site_label
_atom_site_fract_x
_atom_site_fract_y
_atom_site_fract_z
_atom_site_occupancy
Re1 0.0000 0.0000 0.0000 1
Mo1 0.0000 0.0000 0.5000 1
Pt1 0.2500 0.2500 0.2500 1


(7)
# DyLu2In (GGA-PBE, optimized geometry)
# Energy relative to the lowest polymorph listed for this composition ... 1.40 eV per formula unit
# DOS at the Fermi energy ... 6.075 states/eV/f.u.
# Formation enthalpy at 0 K ... 0.095 eV per atom
data_DyLu2In
_cell_length_a 3.4217
_cell_length_b 3.4217
_cell_length_c 35.2698
_cell_angle_alpha 90.00
_cell_angle_beta 90.00
_cell_angle_gamma 120.00
_space_group_name_H-M_alt 'R -3 m'
_space_group_IT_number 166
_space_group_name_Hall '-R 3 2"'
loop_
_atom_site_label
_atom_site_fract_x
_atom_site_fract_y
_atom_site_fract_z
_atom_site_occupancy
Dy1 0.0000 0.0000 0.0000 1
Lu1 0.0000 0.0000 0.0953 1
In1 0.0000 0.0000 0.5000 1


(8)
# RbHgWAu2 (GGA-PBE, optimized geometry)
# DOS at the Fermi energy ... 2.511 states/eV/f.u.
# Formation enthalpy at 0 K ... 1.570 eV per atom
data_RbHgWAu2
_cell_length_a 5.3396
_cell_length_b 5.3396
_cell_length_c 6.0071
_cell_angle_alpha 90.00
_cell_angle_beta 90.00
_cell_angle_gamma 90.00
_space_group_name_H-M_alt 'P 4/m m m'
_space_group_IT_number 123
_space_group_name_Hall '-P 4 2'
loop_
_atom_site_label
_atom_site_fract_x
_atom_site_fract_y
_atom_site_fract_z
_atom_site_occupancy
Rb1 0.0000 0.0000 0.0000 1
Hg1 0.0000 0.0000 0.5000 1
W1 0.5000 0.5000 0.0000 1
Au1 0.0000 0.5000 0.5000 1


(9)
# NaSrCO3 (GGA-PBE, optimized geometry)
# DOS at the Fermi energy ... 0.853 states/eV/f.u.
# Raw formation energy ... -10.30 eV/f.u.
data_NaSrCO3
_cell_length_a 5.2489
_cell_length_b 5.2489
_cell_length_c 8.6520
_cell_angle_alpha 90.00
_cell_angle_beta 90.00
_cell_angle_gamma 120.00
_space_group_name_H-M_alt 'P 63/m m c'
_space_group_IT_number 194
_space_group_name_Hall '-P 6c 2c'
loop_
_atom_site_label
_atom_site_fract_x
_atom_site_fract_y
_atom_site_fract_z
_atom_site_occupancy
Na1 0.0000 0.0000 0.0000 1
Sr1 0.3333 0.6667 0.2500 1
C1 0.3333 0.6667 0.7500 1
O1 0.1899 0.3797 0.7500 1


(10)
# LaNd7Sm2 (GGA-PBE, optimized geometry)
# Energy relative to the lowest polymorph listed for this composition ... 0.00 eV per formula unit
# DOS at the Fermi energy ... 15.718 states/eV/f.u.
# Formation enthalpy at 0 K ... 0.075 eV per atom
data_LaNd7Sm2
_cell_length_a 6.6386
_cell_length_b 6.8186
_cell_length_c 8.6334
_cell_angle_alpha 73.18
_cell_angle_beta 71.50
_cell_angle_gamma 83.22
_space_group_name_H-M_alt 'P -1'
_space_group_IT_number 2
loop_
_space_group_symop_operation_xyz
'x,y,z'
'-x,-y,-z'
loop_
_atom_site_label
_atom_site_fract_x
_atom_site_fract_y
_atom_site_fract_z
_atom_site_occupancy
La1 0.0000 0.0000 0.0000 1
Nd1 0.0000 0.0000 0.5000 1
Nd2 0.1998 0.5932 0.7721 1
Nd3 0.2278 0.5419 0.3430 1
Nd4 0.4219 0.2377 0.0603 1
Sm1 0.4279 0.1398 0.6392 1


(11)
# Cs6KHg2 (GGA-PBE, optimized geometry)
# DOS at the Fermi energy ... 7.504 states/eV/f.u.
# Formation enthalpy at 0 K ... -0.108 eV per atom
data_Cs6KHg2
_cell_length_a 13.6836
_cell_length_b 13.9353
_cell_length_c 14.5915
_cell_angle_alpha 90.00
_cell_angle_beta 90.00
_cell_angle_gamma 90.00
_space_group_name_H-M_alt 'I m m m'
_space_group_IT_number 71
_space_group_name_Hall '-I 2 2'
loop_
_atom_site_label
_atom_site_fract_x
_atom_site_fract_y
_atom_site_fract_z
_atom_site_occupancy
Cs1 0.0000 0.2166 0.2315 1
Cs2 0.1906 0.5000 0.1766 1
Cs3 0.2005 0.3176 0.5000 1
K1 0.0000 0.0000 0.0000 1
K2 0.0000 0.0000 0.5000 1
Hg1 0.0000 0.3834 0.0000 1
Hg2 0.0000 0.5000 0.3921 1


(12)
# La2Pm6Nd (GGA-PBE, optimized geometry)
# Energy relative to the lowest polymorph listed for this composition ... 0.00 eV per formula unit
# DOS at the Fermi energy ... 13.588 states/eV/f.u.
# Formation enthalpy at 0 K ... 0.048 eV per atom
data_La2Pm6Nd
_cell_length_a 10.0573
_cell_length_b 17.4973
_cell_length_c 3.5849
_cell_angle_alpha 90.00
_cell_angle_beta 90.00
_cell_angle_gamma 90.00
_space_group_name_H-M_alt 'C m m m'
_space_group_IT_number 65
_space_group_name_Hall '-C 2 2'
loop_
_atom_site_label
_atom_site_fract_x
_atom_site_fract_y
_atom_site_fract_z
_atom_site_occupancy
La1 0.0000 0.1668 0.0000 1
Pm1 0.1668 0.3339 0.5000 1
Pm2 0.1681 0.0000 0.5000 1
Nd1 0.0000 0.5000 0.0000 1